*A*
# Mg3Zn3Au2

A relaxed Mg3Zn3Au2 crystal (PBE, Alexandria).

Crystal system   orthorhombic
Mass density   7.63 g cm⁻³
Magnetic moment   0.0 μB per cell
N(E_F)   0.288 states/eV/atom

a b c (Å): 3.252 5.403 17.220
angles (deg): 90.00 90.00 107.52
Element x y z (fractional)
Mg 0.964 0.929 0.381
Mg 0.036 0.071 0.881
Mg 0.964 0.929 0.119
Mg 0.036 0.071 0.619
Mg 0.652 0.304 0.250
Mg 0.348 0.696 0.750
Zn 0.632 0.263 0.486
Zn 0.368 0.737 0.986
Zn 0.632 0.263 0.014
Zn 0.368 0.737 0.514
Zn 0.385 0.770 0.250
Zn 0.615 0.230 0.750
Au 0.762 0.525 0.876
Au 0.238 0.475 0.376
Au 0.762 0.525 0.624
Au 0.238 0.475 0.124

---

*B*
# Mg3Zn3Au2

A relaxed Mg3Zn3Au2 crystal (PBE, Alexandria).

Crystal system   orthorhombic
Mass density   7.47 g cm⁻³
Magnetic moment   0.0 μB per cell
N(E_F)   0.325 states/eV/atom

a b c (Å): 5.331 6.351 17.404
angles (deg): 90.00 90.00 90.00
Element x y z (fractional)
Mg 0.130 0.493 0.380
Mg 0.630 0.007 0.620
Mg 0.870 0.507 0.880
Mg 0.370 0.993 0.120
Mg 0.870 0.507 0.620
Mg 0.370 0.993 0.380
Mg 0.130 0.493 0.120
Mg 0.630 0.007 0.880
Mg 0.650 0.331 0.250
Mg 0.150 0.169 0.750
Mg 0.350 0.669 0.750
Mg 0.850 0.831 0.250
Zn 0.156 0.190 0.250
Zn 0.656 0.310 0.750
Zn 0.844 0.810 0.750
Zn 0.344 0.690 0.250
Zn 0.606 0.311 0.485
Zn 0.106 0.189 0.515
Zn 0.394 0.689 0.985
Zn 0.894 0.811 0.015
Zn 0.394 0.689 0.515
Zn 0.894 0.811 0.485
Zn 0.606 0.311 0.015
Zn 0.106 0.189 0.985
Au 0.873 0.122 0.376
Au 0.373 0.378 0.624
Au 0.127 0.878 0.876
Au 0.627 0.622 0.124
Au 0.127 0.878 0.624
Au 0.627 0.622 0.376
Au 0.873 0.122 0.124
Au 0.373 0.378 0.876

---

Which is the most stable structure? *A* is the most stable.

---

*A*
# Mg4ZnAu2

A relaxed Mg4ZnAu2 crystal (PBE, Alexandria).

Crystal system   trigonal
Mass density   6.02 g cm⁻³
Magnetic moment   0.0 μB per cell
N(E_F)   0.440 states/eV/atom

a b c (Å): 4.449 4.449 9.317
angles (deg): 76.19 76.19 60.00
Element x y z (fractional)
Mg 0.386 0.386 0.842
Mg 0.201 0.201 0.398
Mg 0.799 0.799 0.602
Mg 0.614 0.614 0.158
Zn 0.000 0.000 0.000
Au 0.096 0.096 0.712
Au 0.904 0.904 0.288

---

*B*
# Mg4ZnAu2

A relaxed Mg4ZnAu2 crystal (PBE, Alexandria).

Crystal system   trigonal
Mass density   6.75 g cm⁻³
Magnetic moment   0.0 μB per cell
N(E_F)   0.220 states/eV/atom

a b c (Å): 4.599 4.599 7.929
angles (deg): 73.14 73.14 60.00
Element x y z (fractional)
Mg 0.871 0.871 0.387
Mg 0.129 0.129 0.613
Mg 0.620 0.620 0.140
Mg 0.380 0.380 0.860
Zn 0.000 0.000 0.000
Au 0.748 0.748 0.757
Au 0.252 0.252 0.243

---

Which is the most stable structure? *B* is the most stable.

---

*A*
# MgZnAu6

A relaxed MgZnAu6 crystal (PBE, Alexandria).

Crystal system   trigonal
Mass density   12.82 g cm⁻³
Magnetic moment   0.0 μB per cell
N(E_F)   0.260 states/eV/atom

a b c (Å): 5.487 5.487 5.487
angles (deg): 87.35 87.35 87.35
Element x y z (fractional)
Mg 0.000 0.000 0.000
Zn 0.500 0.500 0.500
Au 0.170 0.543 0.170
Au 0.170 0.170 0.543
Au 0.830 0.457 0.830
Au 0.457 0.830 0.830
Au 0.830 0.830 0.457
Au 0.543 0.170 0.170

---

*B*
# MgZnAu6

A relaxed MgZnAu6 crystal (PBE, Alexandria).

Crystal system   tetragonal
Mass density   15.05 g cm⁻³
Magnetic moment   0.0 μB per cell
N(E_F)   0.306 states/eV/atom

a b c (Å): 4.127 4.127 8.240
angles (deg): 90.00 90.00 90.00
Element x y z (fractional)
Mg 0.000 0.000 0.500
Zn 0.000 0.000 0.000
Au 0.500 0.500 0.000
Au 0.500 0.500 0.500
Au 0.500 0.000 0.248
Au 0.500 0.000 0.752
Au 0.000 0.500 0.248
Au 0.000 0.500 0.752

---

Which is the most stable structure? *B* is the most stable.

---

*A*
# Mg3ZnAu2

A relaxed Mg3ZnAu2 crystal (PBE, Alexandria).

Crystal system   orthorhombic
Mass density   8.19 g cm⁻³
Magnetic moment   0.0 μB per cell
N(E_F)   0.255 states/eV/atom

a b c (Å): 3.324 4.629 7.387
angles (deg): 108.26 90.00 90.00
Element x y z (fractional)
Mg 0.500 0.500 0.000
Mg 0.500 0.828 0.657
Mg 0.500 0.172 0.343
Zn 0.000 0.000 0.000
Au 0.000 0.340 0.679
Au 0.000 0.660 0.321

---

*B*
# Mg3ZnAu2

A relaxed Mg3ZnAu2 crystal (PBE, Alexandria).

Crystal system   tetragonal
Mass density   8.15 g cm⁻³
Magnetic moment   0.0 μB per cell
N(E_F)   0.138 states/eV/atom

a b c (Å): 3.261 3.261 10.195
angles (deg): 90.00 90.00 90.00
Element x y z (fractional)
Mg 0.000 0.000 0.000
Mg 0.000 0.000 0.673
Mg 0.000 0.000 0.327
Zn 0.500 0.500 0.500
Au 0.500 0.500 0.833
Au 0.500 0.500 0.167

---

Which is the most stable structure? *A* is the most stable.